This record from Alexandria describes Sc3NbOs after structural relaxation. The functional is PBE-GGA.

Cell lengths 4.8197, 4.8197, 4.8197 Å; angles 90.00, 90.00, 90.00 degrees
Space group Pm-3m (No. 221)
One atom of each set of equivalent atoms:
Sc 0.0000 0.0000 0.5000
Nb 0.0000 0.0000 0.0000
Os 0.5000 0.5000 0.5000

Summary:
- Polymorph energy (0 for the lowest one): 0.757 eV per atom
- Mass density: 6.20 Mg/m³
- DOS(E_F): 2.09 states/eV/atom
- Energy of formation from the pure elements: 1.22 eV per atom